Entry 1:
VASP calculation (PBE) on Ca3BiS after structural relaxation.

Results
Space-group type: Pm-3m, No. 221
Uncorrected formation energy, eV per atom: -0.32
Total DFT energy (no corrections), eV/atom: -3.12
Energy above the lowest structure with this stoichiometry, eV/f.u.: 3.94
DOS at the Fermi energy, states/eV/cell: 3.05

Cell lengths 5.9056, 5.9056, 5.9056 Å; angles 90.00, 90.00, 90.00 degrees
Fractional coordinates of all 5 atoms:
Ca 0.0000 0.0000 0.5000
Ca 0.0000 0.5000 0.0000
Ca 0.5000 0.0000 0.0000
Bi 0.0000 0.0000 0.0000
S 0.5000 0.5000 0.5000

=====

Entry 2:
VASP calculation (PBE) on Be2SbTe after structural relaxation.

Results
Space-group type: Imm2, No. 44
Uncorrected formation energy, eV per atom: 0.43
Total DFT energy (no corrections), eV/atom: -3.25
Energy above the lowest structure with this stoichiometry, eV/f.u.: 1.64
DOS at the Fermi energy, states/eV/cell: 2.56

Cell lengths 3.5054, 3.7110, 12.2314 Å; angles 90.00, 90.00, 90.00 degrees
Fractional coordinates of all 8 atoms:
Be 0.0000 0.0000 0.0000
Be 0.0000 0.5000 0.0970
Be 0.5000 0.0000 0.5970
Be 0.5000 0.5000 0.5000
Sb 0.0000 0.0000 0.4147
Sb 0.5000 0.5000 0.9147
Te 0.0000 0.5000 0.6710
Te 0.5000 0.0000 0.1710

=====

Entry 3:
VASP calculation (PBE) on Co2WAu after structural relaxation.

Results
Space-group type: Pmmm, No. 47
Total DFT energy (no corrections), eV/atom: -7.07
ΔH_f (0 K), eV per atom: 0.54
Energy above the lowest structure with this stoichiometry, eV/f.u.: 1.54
DOS at the Fermi energy, states/eV/cell: 6.54

Cell lengths 2.7578, 4.4352, 4.7215 Å; angles 90.00, 90.00, 90.00 degrees
Fractional coordinates of all 4 atoms:
Co 0.0000 0.0000 0.0000
Co 0.5000 0.0000 0.5000
W 0.0000 0.5000 0.5000
Au 0.5000 0.5000 0.0000

=====

Entry 4:
VASP calculation (PBE) on CaTcNi after structural relaxation.

Results
Space-group type: P-6m2, No. 187
Total DFT energy (no corrections), eV/atom: -5.49
ΔH_f (0 K), eV per atom: 0.56
Energy above the lowest structure with this stoichiometry, eV/f.u.: 0.77
DOS at the Fermi energy, states/eV/cell: 2.21

Cell lengths 4.6135, 4.6135, 2.7420 Å; angles 90.00, 90.00, 120.00 degrees
Fractional coordinates of all 3 atoms:
Ca 0.0000 0.0000 0.0000
Tc 0.3333 0.6667 0.5000
Ni 0.6667 0.3333 0.5000

=====

Entry 5:
VASP calculation (PBE) on Hf2TcNi after structural relaxation.

Results
Space-group type: P4/mmm, No. 123
Total DFT energy (no corrections), eV/atom: -9.53
ΔH_f (0 K), eV per atom: -0.52
DOS at the Fermi energy, states/eV/cell: 3.35

Cell lengths 3.2704, 3.2704, 6.2774 Å; angles 90.00, 90.00, 90.00 degrees
Fractional coordinates of all 4 atoms:
Hf 0.0000 0.0000 0.2504
Hf 0.0000 0.0000 0.7496
Tc 0.5000 0.5000 0.0000
Ni 0.5000 0.5000 0.5000

=====

Entry 6:
VASP calculation (PBE) on TlFeTe2 after structural relaxation.

Results
Space-group type: F-43m, No. 216
Uncorrected formation energy, eV per atom: 0.63
Total DFT energy (no corrections), eV/atom: -3.64
DOS at the Fermi energy, states/eV/cell: 23.66

Cell lengths 7.4571, 7.4571, 7.4571 Å; angles 90.00, 90.00, 90.00 degrees
Fractional coordinates of all 16 atoms:
Tl 0.0000 0.0000 0.0000
Tl 0.0000 0.5000 0.5000
Tl 0.5000 0.0000 0.5000
Tl 0.5000 0.5000 0.0000
Fe 0.2500 0.2500 0.7500
Fe 0.2500 0.7500 0.2500
Fe 0.7500 0.2500 0.2500
Fe 0.7500 0.7500 0.7500
Te 0.0000 0.0000 0.5000
Te 0.0000 0.5000 0.0000
Te 0.2500 0.2500 0.2500
Te 0.2500 0.7500 0.7500
Te 0.5000 0.0000 0.0000
Te 0.5000 0.5000 0.5000
Te 0.7500 0.2500 0.7500
Te 0.7500 0.7500 0.2500

=====

Entry 7:
VASP calculation (PBE) on In2TeIr after structural relaxation.

Results
Space-group type: Pmm2, No. 25
Uncorrected formation energy, eV per atom: 0.13
Total DFT energy (no corrections), eV/atom: -4.24
DOS at the Fermi energy, states/eV/cell: 3.14

Cell lengths 3.1514, 3.5288, 8.3704 Å; angles 90.00, 90.00, 90.00 degrees
Fractional coordinates of all 4 atoms:
In 0.0000 0.0000 0.0000
In 0.5000 0.5000 0.2735
Te 0.5000 0.5000 0.6645
Ir 0.0000 0.0000 0.4898

=====

Entry 8:
VASP calculation (PBE) on Re2Au3 after structural relaxation.

Results
Space-group type: R-3m, No. 166
Total DFT energy (no corrections), eV/atom: -6.46
ΔH_f (0 K), eV per atom: 0.49
DOS at the Fermi energy, states/eV/cell: 24.59

Cell lengths 2.8440, 2.8440, 35.3502 Å; angles 90.00, 90.00, 120.00 degrees
Fractional coordinates of all 15 atoms:
Re 0.0000 0.0000 0.1005
Re 0.0000 0.0000 0.8995
Re 0.3333 0.6667 0.5661
Re 0.3333 0.6667 0.7672
Re 0.6667 0.3333 0.2328
Re 0.6667 0.3333 0.4339
Au 0.0000 0.0000 0.2980
Au 0.0000 0.0000 0.5000
Au 0.0000 0.0000 0.7020
Au 0.3333 0.6667 0.1667
Au 0.3333 0.6667 0.3687
Au 0.3333 0.6667 0.9646
Au 0.6667 0.3333 0.0354
Au 0.6667 0.3333 0.6313
Au 0.6667 0.3333 0.8333

=====

Entry 9:
VASP calculation (PBE) on NdSi3Os3 after structural relaxation.

Results
Space-group type: R-3, No. 148
Uncorrected formation energy, eV per atom: -0.15
Total DFT energy (no corrections), eV/atom: -7.97
Energy above the lowest structure with this stoichiometry, eV/f.u.: 0.00
DOS at the Fermi energy, states/eV/cell: 8.91

Cell lengths 7.9012, 7.9012, 7.9012 Å; angles 50.06, 50.06, 50.06 degrees
Fractional coordinates of all 14 atoms:
Nd 0.1664 0.1664 0.1664
Nd 0.8336 0.8336 0.8336
Si 0.1441 0.6882 0.3861
Si 0.3118 0.6139 0.8559
Si 0.3861 0.1441 0.6882
Si 0.6139 0.8559 0.3118
Si 0.6882 0.3861 0.1441
Si 0.8559 0.3118 0.6139
Os 0.0123 0.5935 0.2578
Os 0.2578 0.0123 0.5935
Os 0.4065 0.7422 0.9877
Os 0.5935 0.2578 0.0123
Os 0.7422 0.9877 0.4065
Os 0.9877 0.4065 0.7422

=====

Entry 10:
VASP calculation (PBE) on SmDy4Os2 after structural relaxation.

Results
Space-group type: P2_1/m, No. 11
Total DFT energy (no corrections), eV/atom: -6.67
ΔH_f (0 K), eV per atom: -0.16
DOS at the Fermi energy, states/eV/cell: 12.28

Cell lengths 7.7955, 6.3479, 7.9679 Å; angles 90.00, 112.37, 90.00 degrees
Fractional coordinates of all 14 atoms:
Sm 0.0237 0.2500 0.1604
Sm 0.9763 0.7500 0.8396
Dy 0.2417 0.5010 0.5813
Dy 0.2417 0.9990 0.5813
Dy 0.3256 0.7500 0.2522
Dy 0.3800 0.2500 0.0196
Dy 0.6200 0.7500 0.9804
Dy 0.6744 0.2500 0.7478
Dy 0.7583 0.0010 0.4187
Dy 0.7583 0.4990 0.4187
Os 0.0248 0.2500 0.7405
Os 0.4139 0.2500 0.3747
Os 0.5861 0.7500 0.6253
Os 0.9752 0.7500 0.2595

=====

Entry 11:
VASP calculation (PBE) on Ag2OsSe after structural relaxation.

Results
Space-group type: C2/m, No. 12
Uncorrected formation energy, eV per atom: 0.70
Total DFT energy (no corrections), eV/atom: -4.40
DOS at the Fermi energy, states/eV/cell: 6.87

Cell lengths 10.8156, 2.9601, 4.6589 Å; angles 90.00, 113.29, 90.00 degrees
Fractional coordinates of all 8 atoms:
Ag 0.2494 0.0000 0.2489
Ag 0.2506 0.5000 0.7511
Ag 0.7494 0.5000 0.2489
Ag 0.7506 0.0000 0.7511
Os 0.0000 0.5000 0.0000
Os 0.5000 0.0000 0.0000
Se 0.0000 0.0000 0.5000
Se 0.5000 0.5000 0.5000

=====

Entry 12:
VASP calculation (PBE) on Ta2FePt6 after structural relaxation.

Results
Space-group type: C2/m, No. 12
Total DFT energy (no corrections), eV/atom: -8.17
ΔH_f (0 K), eV per atom: -0.57
DOS at the Fermi energy, states/eV/cell: 5.46

Cell lengths 6.3243, 6.3243, 6.3712 Å; angles 107.98, 107.98, 35.69 degrees
Fractional coordinates of all 9 atoms:
Ta 0.0581 0.0581 0.3195
Ta 0.9419 0.9419 0.6805
Fe 0.5000 0.5000 0.0000
Pt 0.1594 0.1594 0.0047
Pt 0.2820 0.2820 0.6663
Pt 0.3978 0.3978 0.3309
Pt 0.6022 0.6022 0.6691
Pt 0.7180 0.7180 0.3337
Pt 0.8406 0.8406 0.9953

=====

Entry 13:
VASP calculation (PBE) on Pr2Th2As5 after structural relaxation.

Results
Space-group type: Cmce, No. 64
Total DFT energy (no corrections), eV/atom: -6.53
ΔH_f (0 K), eV per atom: -1.24
DOS at the Fermi energy, states/eV/cell: 9.79

Cell lengths 8.4277, 8.4277, 8.0133 Å; angles 90.00, 90.00, 56.37 degrees
Fractional coordinates of all 18 atoms:
Pr 0.1550 0.8450 0.8417
Pr 0.3450 0.6550 0.3417
Pr 0.6550 0.3450 0.6583
Pr 0.8450 0.1550 0.1583
Th 0.1950 0.1950 0.5000
Th 0.3050 0.3050 0.0000
Th 0.6950 0.6950 0.0000
Th 0.8050 0.8050 0.5000
As 0.0000 0.0000 0.5000
As 0.0149 0.6998 0.1544
As 0.1998 0.5149 0.6544
As 0.3002 0.9851 0.1544
As 0.4851 0.8002 0.6544
As 0.5000 0.5000 0.0000
As 0.5149 0.1998 0.3456
As 0.6998 0.0149 0.8456
As 0.8002 0.4851 0.3456
As 0.9851 0.3002 0.8456

=====

Entry 14:
VASP calculation (PBE) on Cs3KCd2F9 after structural relaxation.

Results
Space-group type: P-3m1, No. 164
Uncorrected formation energy, eV per atom: -2.39
Total DFT energy (no corrections), eV/atom: -3.88
DOS at the Fermi energy, states/eV/cell: 5.22

Cell lengths 6.5837, 6.5837, 8.1328 Å; angles 90.00, 90.00, 120.00 degrees
Fractional coordinates of all 15 atoms:
Cs 0.0000 0.0000 0.0000
Cs 0.3333 0.6667 0.6549
Cs 0.6667 0.3333 0.3451
K 0.0000 0.0000 0.5000
Cd 0.3333 0.6667 0.1529
Cd 0.6667 0.3333 0.8471
F 0.0000 0.5000 0.0000
F 0.1776 0.3552 0.3084
F 0.1776 0.8224 0.3084
F 0.3552 0.1776 0.6916
F 0.5000 0.0000 0.0000
F 0.5000 0.5000 0.0000
F 0.6448 0.8224 0.3084
F 0.8224 0.1776 0.6916
F 0.8224 0.6448 0.6916

=====

Entry 15:
VASP calculation (PBE) on Rb3Cd2Bi4 after structural relaxation.

Results
Space-group type: C2/m, No. 12
Total DFT energy (no corrections), eV/atom: -2.48
ΔH_f (0 K), eV per atom: -0.23
Energy above the lowest structure with this stoichiometry, eV/f.u.: 0.30
DOS at the Fermi energy, states/eV/cell: 1.22

Cell lengths 7.8086, 7.8086, 10.1243 Å; angles 92.07, 92.07, 39.14 degrees
Fractional coordinates of all 9 atoms:
Rb 0.0000 0.0000 0.0000
Rb 0.3431 0.3431 0.3398
Rb 0.6569 0.6569 0.6602
Cd 0.3985 0.3985 0.7386
Cd 0.6015 0.6015 0.2614
Bi 0.0729 0.0729 0.3923
Bi 0.2449 0.2449 0.9190
Bi 0.7551 0.7551 0.0810
Bi 0.9271 0.9271 0.6077

=====

Entry 16:
VASP calculation (PBE) on Ho2Er5AgRu2 after structural relaxation.

Results
Space-group type: P4/mbm, No. 127
Total DFT energy (no corrections), eV/atom: -5.64
ΔH_f (0 K), eV per atom: -0.31
DOS at the Fermi energy, states/eV/cell: 20.45

Cell lengths 11.6016, 11.6016, 3.7969 Å; angles 90.00, 90.00, 90.00 degrees
Fractional coordinates of all 20 atoms:
Ho 0.1875 0.3125 0.0000
Ho 0.3125 0.8125 0.0000
Ho 0.6875 0.1875 0.0000
Ho 0.8125 0.6875 0.0000
Er 0.0000 0.5000 0.5000
Er 0.0590 0.7905 0.5000
Er 0.2095 0.0590 0.5000
Er 0.2905 0.5590 0.5000
Er 0.4410 0.2905 0.5000
Er 0.5000 0.0000 0.5000
Er 0.5590 0.7095 0.5000
Er 0.7095 0.4410 0.5000
Er 0.7905 0.9410 0.5000
Er 0.9410 0.2095 0.5000
Ag 0.0000 0.0000 0.0000
Ag 0.5000 0.5000 0.0000
Ru 0.1327 0.6327 0.0000
Ru 0.3673 0.1327 0.0000
Ru 0.6327 0.8673 0.0000
Ru 0.8673 0.3673 0.0000

=====

Entry 17:
VASP calculation (PBE) on DyThSe2 after structural relaxation.

Results
Space-group type: Fm-3m, No. 225
Uncorrected formation energy, eV per atom: -1.42
Total DFT energy (no corrections), eV/atom: -6.17
Energy above the lowest structure with this stoichiometry, eV/f.u.: 0.88
DOS at the Fermi energy, states/eV/cell: 15.77

Cell lengths 7.1978, 7.1978, 7.1978 Å; angles 90.00, 90.00, 90.00 degrees
Fractional coordinates of all 16 atoms:
Dy 0.0000 0.0000 0.0000
Dy 0.0000 0.5000 0.5000
Dy 0.5000 0.0000 0.5000
Dy 0.5000 0.5000 0.0000
Th 0.0000 0.0000 0.5000
Th 0.0000 0.5000 0.0000
Th 0.5000 0.0000 0.0000
Th 0.5000 0.5000 0.5000
Se 0.2500 0.2500 0.2500
Se 0.2500 0.2500 0.7500
Se 0.2500 0.7500 0.2500
Se 0.2500 0.7500 0.7500
Se 0.7500 0.2500 0.2500
Se 0.7500 0.2500 0.7500
Se 0.7500 0.7500 0.2500
Se 0.7500 0.7500 0.7500

=====

Entry 18:
VASP calculation (PBE) on Pr2NpHg after structural relaxation.

Results
Space-group type: R-3m, No. 166
Total DFT energy (no corrections), eV/atom: -5.32
ΔH_f (0 K), eV per atom: 0.38
DOS at the Fermi energy, states/eV/cell: 32.00

Cell lengths 3.4305, 3.4305, 36.1077 Å; angles 90.00, 90.00, 120.00 degrees
Fractional coordinates of all 12 atoms:
Pr 0.0000 0.0000 0.0927
Pr 0.0000 0.0000 0.9073
Pr 0.3333 0.6667 0.5740
Pr 0.3333 0.6667 0.7593
Pr 0.6667 0.3333 0.2407
Pr 0.6667 0.3333 0.4260
Np 0.0000 0.0000 0.0000
Np 0.3333 0.6667 0.6667
Np 0.6667 0.3333 0.3333
Hg 0.0000 0.0000 0.5000
Hg 0.3333 0.6667 0.1667
Hg 0.6667 0.3333 0.8333

=====

Entry 19:
VASP calculation (PBE) on Tl5Hg2Au5 after structural relaxation.

Results
Space-group type: C2/m, No. 12
Total DFT energy (no corrections), eV/atom: -2.37
ΔH_f (0 K), eV per atom: 0.03
DOS at the Fermi energy, states/eV/cell: 3.39

Cell lengths 8.0449, 8.0449, 11.8709 Å; angles 118.68, 118.68, 26.40 degrees
Fractional coordinates of all 12 atoms:
Tl 0.0000 0.0000 0.0000
Tl 0.0923 0.0923 0.7690
Tl 0.1641 0.1641 0.5359
Tl 0.8359 0.8359 0.4641
Tl 0.9077 0.9077 0.2310
Hg 0.4009 0.4009 0.7311
Hg 0.5991 0.5991 0.2689
Au 0.2332 0.2332 0.2199
Au 0.3193 0.3193 0.9890
Au 0.5000 0.5000 0.5000
Au 0.6807 0.6807 0.0110
Au 0.7668 0.7668 0.7801

=====

Entry 20:
VASP calculation (PBE) on HfHgSe2O8 after structural relaxation.

Results
Space-group type: C2/m, No. 12
Uncorrected formation energy, eV per atom: -1.21
Total DFT energy (no corrections), eV/atom: -5.95

Cell lengths 5.3329, 5.3329, 10.1923 Å; angles 94.49, 94.49, 63.35 degrees
Fractional coordinates of all 12 atoms:
Hf 0.0000 0.0000 0.0000
Hg 0.0000 0.0000 0.5000
Se 0.3670 0.3670 0.1756
Se 0.6330 0.6330 0.8244
O 0.2231 0.2231 0.0560
O 0.2322 0.7094 0.1401
O 0.2906 0.7678 0.8599
O 0.3190 0.3190 0.3237
O 0.6810 0.6810 0.6763
O 0.7094 0.2322 0.1401
O 0.7678 0.2906 0.8599
O 0.7769 0.7769 0.9440

=====

Entry 21:
VASP calculation (PBE) on ThZn4Ga3 after structural relaxation.

Results
Space-group type: P4/mmm, No. 123
Total DFT energy (no corrections), eV/atom: -2.97
ΔH_f (0 K), eV per atom: -0.27
DOS at the Fermi energy, states/eV/cell: 1.77

Cell lengths 4.3215, 4.3215, 7.9724 Å; angles 90.00, 90.00, 90.00 degrees
Fractional coordinates of all 8 atoms:
Th 0.0000 0.0000 0.0000
Zn 0.0000 0.5000 0.3236
Zn 0.0000 0.5000 0.6764
Zn 0.5000 0.0000 0.3236
Zn 0.5000 0.0000 0.6764
Ga 0.0000 0.0000 0.5000
Ga 0.5000 0.5000 0.1518
Ga 0.5000 0.5000 0.8482

=====

Entry 22:
VASP calculation (PBE) on Tb6Sm8Cd after structural relaxation.

Results
Space-group type: P-3, No. 147
Total DFT energy (no corrections), eV/atom: -4.33
ΔH_f (0 K), eV per atom: 0.10
DOS at the Fermi energy, states/eV/cell: 19.68

Cell lengths 9.4448, 9.4448, 6.3843 Å; angles 90.00, 90.00, 120.00 degrees
Fractional coordinates of all 15 atoms:
Tb 0.0951 0.6417 0.3209
Tb 0.3583 0.4535 0.3209
Tb 0.4535 0.0951 0.6791
Tb 0.5465 0.9049 0.3209
Tb 0.6417 0.5465 0.6791
Tb 0.9049 0.3583 0.6791
Sm 0.0412 0.7733 0.8131
Sm 0.2267 0.2679 0.8131
Sm 0.2679 0.0412 0.1869
Sm 0.3333 0.6667 0.8286
Sm 0.6667 0.3333 0.1714
Sm 0.7321 0.9588 0.8131
Sm 0.7733 0.7321 0.1869
Sm 0.9588 0.2267 0.1869
Cd 0.0000 0.0000 0.5000

=====

Entry 23:
VASP calculation (PBE) on Mg12In5Sn2 after structural relaxation.

Results
Space-group type: C2/m, No. 12
Total DFT energy (no corrections), eV/atom: -2.12
ΔH_f (0 K), eV per atom: 0.03
DOS at the Fermi energy, states/eV/cell: 7.29

Cell lengths 8.8513, 8.8513, 9.5852 Å; angles 100.19, 100.19, 42.03 degrees
Fractional coordinates of all 19 atoms:
Mg 0.0298 0.0298 0.3175
Mg 0.0511 0.5488 0.8682
Mg 0.1097 0.6165 0.3837
Mg 0.3835 0.8903 0.6163
Mg 0.4196 0.4196 0.7315
Mg 0.4512 0.9489 0.1318
Mg 0.5488 0.0511 0.8682
Mg 0.5804 0.5804 0.2685
Mg 0.6165 0.1097 0.3837
Mg 0.8903 0.3835 0.6163
Mg 0.9489 0.4512 0.1318
Mg 0.9702 0.9702 0.6825
In 0.1392 0.1392 0.8776
In 0.2144 0.2144 0.4104
In 0.5000 0.5000 0.5000
In 0.7856 0.7856 0.5896
In 0.8608 0.8608 0.1224
Sn 0.2488 0.7512 0.0000
Sn 0.7512 0.2488 0.0000